Entry 1:
SiAuI2N: relaxed, GGA-PBEsol.

Geometry as extended XYZ:
```
5
Lattice="-0.0893 2.0789 -2.5332 0.2843 -4.3976 -3.6189 -5.6931 -0.3182 -0.0605" Properties=species:S:1:pos:R:3 pbc="T T T"
N -0.0446 1.0394 -1.2666
I 0.1421 -2.1988 -1.8095
I -2.8466 -0.1591 -0.0303
Si 0.0000 0.0000 0.0000
Au -2.7490 -1.3185 -3.1063
```

Summary:
**E_tot**: -20.0 eV/f.u.
**V**: 21.3 A^3/atom

=====

Entry 2:
SnAuIN2: relaxed, GGA-PBEsol.

Geometry as extended XYZ:
```
5
Lattice="-0.0802 2.3344 3.2502 -3.9476 -0.5782 0.3179 1.1249 -5.4949 3.9743" Properties=species:S:1:pos:R:3 pbc="T T T"
N -1.9738 -0.2891 0.1590
N -0.0401 1.1672 1.6251
Au -1.4514 -1.8694 3.7712
Sn 0.0000 0.0000 0.0000
I 0.5625 -2.7474 1.9872
```

Summary:
**E_tot**: -20.6 eV/f.u.
**V**: 22.0 A^3/atom

=====

Entry 3:
TcAuIN2: relaxed, GGA-PBEsol.

Geometry as extended XYZ:
```
5
Lattice="-1.4042 2.8756 2.2333 -3.1615 -2.1503 0.7810 3.2887 -2.7829 5.6509" Properties=species:S:1:pos:R:3 pbc="T T T"
Au 0.0000 0.0000 0.0000
N -1.5808 -1.0751 0.3905
N -0.7021 1.4378 1.1167
Tc -0.6385 -1.0288 4.3326
I 1.6443 -1.3914 2.8255
```

Summary:
**E_tot**: -23.3 eV/f.u.
**V**: 21.6 A^3/atom